First-principles (GGA-PBE) data for a geometry-optimized LaThCd structure, as listed in OQMD via LeMat-Bulk.

The calculation puts the mass density at 8.2 g cm⁻³. For the formation energy, the calculation gives 59.2 kJ/mol of atoms. The calculation puts the total magnetization at 0.313 μB/atom.

a = 5.1757 Å, b = 5.1757 Å, c = 5.1757 Å
α = 60.00°, β = 60.00°, γ = 60.00°
Sites, in units of the cell vectors:
Cd  0.2500  0.2500  0.2500
La  0.0000  0.0000  0.0000
Th  0.7500  0.7500  0.7500

=====

First-principles (GGA-PBE) data for a geometry-optimized La2ThCd structure, as listed in OQMD via LeMat-Bulk.

The calculation puts the mass density at 8.2 g cm⁻³. For the formation energy, the calculation gives -17.1 kJ/mol of atoms. The calculation puts the total magnetization at 0.003 μB/atom.

a = 3.6720 Å, b = 3.6720 Å, c = 9.3854 Å
α = 90.00°, β = 90.00°, γ = 90.00°
Sites, in units of the cell vectors:
Cd  0.5000  0.5000  0.0000
La  0.0000  0.0000  0.2385
La  0.0000  0.0000  0.7615
Th  0.5000  0.5000  0.5000

=====

First-principles (GGA-PBE) data for a geometry-optimized LaTlCd structure, as listed in OQMD via LeMat-Bulk.

The calculation puts the mass density at 7.4 g cm⁻³. Its total DFT energy (no corrections) is -8.2 eV/cell. The calculation puts the total magnetization at 0.000 μB/atom.

a = 5.2564 Å, b = 5.2564 Å, c = 5.2564 Å
α = 60.00°, β = 60.00°, γ = 60.00°
Sites, in units of the cell vectors:
Cd  0.2500  0.2500  0.2500
La  0.0000  0.0000  0.0000
Tl  0.7500  0.7500  0.7500

=====

First-principles (GGA-PBE) data for a geometry-optimized LaTlCd structure, as listed in OQMD via LeMat-Bulk.

The calculation puts the mass density at 8.0 g cm⁻³. Its total DFT energy (no corrections) is -9.1 eV/cell. The calculation puts the total magnetization at 0.000 μB/atom.

a = 5.1069 Å, b = 5.1069 Å, c = 5.1069 Å
α = 60.00°, β = 60.00°, γ = 60.00°
Sites, in units of the cell vectors:
Cd  0.2500  0.2500  0.2500
La  0.7500  0.7500  0.7500
Tl  0.0000  0.0000  0.0000

=====

What did the third record say?
First-principles (GGA-PBE) data for a geometry-optimized LaTlCd structure, as listed in OQMD via LeMat-Bulk.

The calculation puts the mass density at 7.4 g cm⁻³. Its total DFT energy (no corrections) is -8.2 eV/cell. The calculation puts the total magnetization at 0.000 μB/atom.

a = 5.2564 Å, b = 5.2564 Å, c = 5.2564 Å
α = 60.00°, β = 60.00°, γ = 60.00°
Sites, in units of the cell vectors:
Cd  0.2500  0.2500  0.2500
La  0.0000  0.0000  0.0000
Tl  0.7500  0.7500  0.7500

=====

Which formula does entry 2 have? La2ThCd